## Cd3Ag2Rh (PBE)

Data for a relaxed Cd3Ag2Rh crystal.

extended XYZ file:
```
12
Lattice="4.3683 0.0000 0.0195 2.1842 6.5329 0.0097 -0.0349 0.0000 7.7679" Properties=species:S:1:pos:R:3 pbc="T T T"
Rh 2.1842 2.1402 0.0097
Rh 4.3683 4.3927 0.0195
Cd 4.3414 2.2304 5.9651
Cd 2.1573 4.3025 5.9553
Cd 2.1575 0.0000 5.9059
Cd 4.3603 2.2304 1.8418
Cd 2.1758 0.0000 1.8815
Cd 2.1761 4.3025 1.8321
Ag 2.1667 2.1509 3.8937
Ag 0.0000 0.0000 0.0000
Ag 4.3509 4.3820 3.9034
Ag -0.0175 0.0000 3.8840
```

- SG = Cmmm
- mass density (g/cm3) = 9.8
- uncorrected energy (eV/atom) = -2.7079

---

## Cd6Ag12Rh (PBE)

Data for a relaxed Cd6Ag12Rh crystal.

extended XYZ file:
```
19
Lattice="-4.3670 1.3996 5.4775 1.1992 -6.5555 2.5728 5.5504 2.5247 3.7217" Properties=species:S:1:pos:R:3 pbc="T T T"
Ag -0.7123 0.6004 2.7214
Ag 2.0382 -0.0037 2.0297
Ag 3.0950 -3.2316 9.0507
Ag 1.9214 -3.2514 6.4672
Ag 2.6469 -0.1969 7.0030
Ag 0.4612 0.6202 5.3049
Ag 2.7304 -1.4187 4.3899
Ag 2.3487 -0.5329 9.8049
Ag -0.2643 -2.4343 4.7690
Ag -0.3478 -1.2125 7.3822
Ag 0.3444 -2.6276 9.7424
Ag 0.0339 -2.0983 1.9671
Cd 4.6401 -2.1672 6.5901
Cd -0.6656 -4.1207 7.2274
Cd 3.0482 1.4894 4.5447
Cd 0.4857 1.3622 8.2198
Cd 1.8969 -3.9935 3.5522
Cd -2.2575 -0.4640 5.1819
Rh 0.0000 0.0000 0.0000
```

- SG = R-3
- mass density (g/cm3) = 9.4
- uncorrected energy (eV/atom) = -2.4772

---

Number 1: DFT formation energy -0.075 eV per atom. Number 2: DFT formation energy 0.000 eV per atom.